# 1
The following is a DFT calculation (PBE) of an optimized crystal structure of ReMoSeBr2.

abc: 5.285 5.285 4.707
angles: 90.00 90.00 90.00
Space group P4/mmm (No. 123)
One atom of each set of equivalent atoms:
Re (0.000, 0.000, 0.000) [1 per cell]
Mo (0.500, 0.500, 0.500) [1 per cell]
Se (0.000, 0.000, 0.500) [1 per cell]
Br (0.000, 0.500, 0.000) [2 per cell]

- energy relative to the lowest polymorph listed for this composition (eV/atom) = 0.000
- DOS at the Fermi energy (states/eV per atom) = 0.90
- electronic total energy (eV/atom) = -4.888
- uncorrected formation energy (eV per atom) = 1.1338



# 2
The following is a DFT calculation (PBE) of an optimized crystal structure of Li4AgPb7.

abc: 14.695 5.567 9.684
angles: 90.00 128.49 90.00
Space group C2/m (No. 12)
One atom of each set of equivalent atoms:
Li (0.050, 0.000, 0.235) [4 per cell]
Li (0.185, 0.000, 0.858) [4 per cell]
Ag (0.000, 0.500, 0.500) [2 per cell]
Pb (0.000, 0.000, 0.500) [2 per cell]
Pb (0.068, 0.500, 0.880) [4 per cell]
Pb (0.216, 0.500, 0.366) [4 per cell]
Pb (0.233, 0.000, 0.193) [4 per cell]

- DOS at the Fermi energy (states/eV per atom) = 0.33
- DFT formation energy (eV per atom) = -0.061
- electronic total energy (eV/atom) = -3.100



# 3
The following is a DFT calculation (PBE) of an optimized crystal structure of CrReMo3.

abc: 4.398 4.398 4.398
angles: 90.00 90.00 90.00
Space group Pm-3m (No. 221)
One atom of each set of equivalent atoms:
Cr (0.000, 0.000, 0.000) [1 per cell]
Re (0.500, 0.500, 0.500) [1 per cell]
Mo (0.000, 0.000, 0.500) [3 per cell]

- energy relative to the lowest polymorph listed for this composition (eV/atom) = 1.064
- DOS at the Fermi energy (states/eV per atom) = 1.23
- DFT formation energy (eV per atom) = 1.382
- electronic total energy (eV/atom) = -9.531



# 4
The following is a DFT calculation (PBE) of an optimized crystal structure of Pm8MgCd2.

abc: 16.609 5.536 8.765
angles: 90.00 121.29 90.00
Space group C2/m (No. 12)
One atom of each set of equivalent atoms:
Pm (0.069, 0.000, 0.224) [4 per cell]
Pm (0.093, 0.500, 0.954) [4 per cell]
Pm (0.138, 0.000, 0.690) [4 per cell]
Pm (0.182, 0.500, 0.447) [4 per cell]
Mg (0.000, 0.500, 0.500) [2 per cell]
Cd (0.231, 0.000, 0.124) [4 per cell]

- energy relative to the lowest polymorph listed for this composition (eV/atom) = 0.000
- DOS at the Fermi energy (states/eV per atom) = 1.04
- DFT formation energy (eV per atom) = -0.116
- electronic total energy (eV/atom) = -3.883